1.
First-principles (PBE) data for a relaxed structure of HgB2S, as listed in Alexandria via LeMat-Bulk.

Summary:
* total magnetization: 0.0 Bohr magnetons per cell
* energy relative to the elements, uncorrected: 7.63 eV per formula unit
* offset from the most stable computed form: 1144.8 meV/atom
* E: -2.54 eV per atom
* SG: Fm-3m (225)
* calculated volume: 57.0 Å³ per cell

POSCAR file:
```
HgB2S
1.0
0.000 3.054 3.054
3.054 0.000 3.054
3.054 3.054 0.000
Hg B S
1 2 1
direct
0.000 0.000 0.000
0.250 0.250 0.250
0.750 0.750 0.750
0.500 0.500 0.500
```

2.
First-principles (PBE) data for a relaxed structure of Sb3Pt5, as listed in Alexandria via LeMat-Bulk.

Summary:
* total magnetization: 0.0 Bohr magnetons per cell
* energy relative to the elements, uncorrected: -1.78 eV per formula unit
* E: -5.54 eV per atom
* SG: Cm (8)
* calculated volume: 320.6 Å³ per cell

POSCAR file:
```
Sb3Pt5
1.0
3.368 -6.558 0.000
3.368 6.558 0.000
-3.064 0.000 7.256
Sb Pt
6 10
direct
0.000 0.000 0.000
0.137 0.724 0.274
0.197 0.555 0.689
0.555 0.197 0.689
0.653 0.653 0.335
0.724 0.137 0.274
0.004 0.390 0.951
0.048 0.794 0.587
0.188 0.405 0.318
0.248 0.248 0.809
0.390 0.004 0.951
0.405 0.188 0.318
0.533 0.738 0.020
0.583 0.583 0.656
0.738 0.533 0.020
0.794 0.048 0.587
```

3.
First-principles (PBE) data for a relaxed structure of BeHgS2, as listed in Alexandria via LeMat-Bulk.

Summary:
* total magnetization: 0.0 Bohr magnetons per cell
* energy relative to the elements, uncorrected: -2.01 eV per formula unit
* offset from the most stable computed form: 54.9 meV/atom
* E: -3.57 eV per atom
* SG: C2 (5)
* calculated volume: 79.6 Å³ per cell

POSCAR file:
```
BeHgS2
1.0
2.637 -2.637 0.000
2.637 2.637 0.000
-0.003 0.000 5.721
Be Hg S
1 1 2
direct
0.000 0.000 0.000
0.502 0.498 0.500
0.000 0.500 0.192
0.500 0.000 0.808
```